DFT (SCAN) results for a crystal of Zr2C relaxed with PBEsol.

The value obtained for the calculated formation energy is -720 meV/atom. The calculation puts the final energy at -24.55 eV/atom. As for the size of the total moment: 0.000 μB per atom.

It has space group R-3m (No. 166, hexagonal axes), with a = 3.3041 Å, b = 3.3041 Å, c = 15.9966 Å, α = 90.00°, β = 90.00° and γ = 120.00°. The asymmetric unit holds Zr at (0.0000, 0.0000, 0.2449) and C at (0.0000, 0.0000, 0.5000).

DFT (SCAN) results for a crystal of ZrC2 relaxed with PBEsol.

The value obtained for the calculated formation energy is 1187 meV/atom. The calculation puts the final energy at -15.78 eV/atom. As for the size of the total moment: 0.000 μB per atom.

It has space group P6_3/mmc (No. 194), with a = 4.0158 Å, b = 4.0158 Å, c = 4.5345 Å, α = 90.00°, β = 90.00° and γ = 120.00°. The asymmetric unit holds Zr at (0.3333, 0.6667, 0.2500), C at (0.0000, 0.0000, 0.0000) and C at (0.3333, 0.6667, 0.7500).

DFT (SCAN) results for a crystal of Zr2C relaxed with PBEsol.

The value obtained for the calculated formation energy is -674 meV/atom. The calculation puts the final energy at -24.51 eV/atom. As for the size of the total moment: 0.000 μB per atom.

It has space group Cmcm (No. 63), with a = 3.281 Å, b = 13.004 Å, c = 4.696 Å, α = 90.00°, β = 90.00° and γ = 90.00°. The asymmetric unit holds Zr at (0.000, 0.069, 0.250), Zr at (0.000, 0.310, 0.250) and C at (0.000, 0.315, 0.750).

DFT (SCAN) results for a crystal of Ca3Cd2 relaxed with PBEsol.

The value obtained for the calculated formation energy is -314 meV/atom. The calculation puts the final energy at -18.28 eV/atom. As for the size of the total moment: 0.000 μB per atom.

It has space group P-3m1 (No. 164), with a = 5.2914 Å, b = 5.2914 Å, c = 6.4300 Å, α = 90.00°, β = 90.00° and γ = 120.00°. The asymmetric unit holds Ca at (0.0000, 0.0000, 0.0000), Ca at (0.3333, 0.6667, 0.3412) and Cd at (0.3333, 0.6667, 0.8551).

DFT (SCAN) results for a crystal of Ca8Cd relaxed with PBEsol.

The value obtained for the calculated formation energy is -39 meV/atom. The calculation puts the final energy at -12.01 eV/atom. As for the size of the total moment: 0.066 μB per atom.

It has space group I4/mmm (No. 139), with a = 11.379 Å, b = 11.379 Å, c = 5.074 Å, α = 90.00°, β = 90.00° and γ = 90.00°. The asymmetric unit holds Ca at (0.000, 0.327, 0.000), Ca at (0.157, 0.157, 0.500) and Cd at (0.000, 0.000, 0.000).

DFT (SCAN) results for a crystal of CaCd3 relaxed with PBEsol.

The value obtained for the calculated formation energy is -259 meV/atom. The calculation puts the final energy at -25.49 eV/atom. As for the size of the total moment: 0.000 μB per atom.

It has space group P2/m (No. 10), with a = 3.374 Å, b = 4.928 Å, c = 5.851 Å, α = 90.00°, β = 92.93° and γ = 90.00°. The asymmetric unit holds Ca at (0.000, 0.000, 0.000), Cd at (0.470, 0.500, 0.751) and Cd at (0.500, 0.000, 0.500).

Let's list V in order: 16.8; 10.6; 16.7; 31.2; 36.5; 24.3 A^3/atom.